1.
Density functional theory data (PBE) for a relaxed structure of CsCu3Tc.

abc: 5.2383 5.2383 5.2383
angles: 90.00 90.00 90.00
Space group Pm-3m (No. 221)
One atom of each set of equivalent atoms:
Cs (0.0000, 0.0000, 0.0000)
Cu (0.0000, 0.0000, 0.5000)
Tc (0.5000, 0.5000, 0.5000)

ΔE_f = 2.496 eV per atom
total energy = -2.21 eV/atom
energy above the lowest structure with this stoichiometry = 33.247 kcal/mol of atoms


2.
Density functional theory data (PBE) for a relaxed structure of GeIrN2.

abc: 3.1248 3.1248 17.8800
angles: 90.00 90.00 120.00
Space group R-3m (No. 166, hexagonal axes)
One atom of each set of equivalent atoms:
Ge (0.0000, 0.0000, 0.0000)
Ir (0.0000, 0.0000, 0.5000)
N (0.0000, 0.0000, 0.1105)

total energy = -6.87 eV/atom
raw formation energy = 662 meV per atom


3.
Density functional theory data (PBE) for a relaxed structure of Cs2KHg7Pd2.

abc: 7.6865 7.6729 15.2198
angles: 90.00 104.62 90.00
Space group C2/m (No. 12)
One atom of each set of equivalent atoms:
Cs (0.1823, 0.0000, 0.3638)
K (0.0000, 0.0000, 0.0000)
Hg (0.0000, 0.5000, 0.0000)
Hg (0.1598, 0.2499, 0.8206)
Hg (0.1870, 0.5000, 0.3725)
Pd (0.0927, 0.5000, 0.1844)

ΔE_f = -0.252 eV per atom
total energy = -1.53 eV/atom


4.
Density functional theory data (PBE) for a relaxed structure of HgRh.

abc: 9.0874 2.9753 6.6315
angles: 90.00 126.03 90.00
Space group C2/m (No. 12)
One atom of each set of equivalent atoms:
Hg (0.0681, 0.0000, 0.3525)
Rh (0.1814, 0.5000, 0.0940)

ΔE_f = 0.226 eV per atom
total energy = -3.60 eV/atom


5.
Density functional theory data (PBE) for a relaxed structure of AcNF.

abc: 6.0528 6.0528 6.0528
angles: 90.00 90.00 90.00
Space group F-43m (No. 216)
One atom of each set of equivalent atoms:
Ac (0.0000, 0.0000, 0.0000)
N (0.2500, 0.2500, 0.7500)
F (0.2500, 0.2500, 0.2500)

total energy = -6.73 eV/atom
raw formation energy = -1959 meV per atom
energy above the lowest structure with this stoichiometry = 9.472 kcal/mol of atoms


6.
Density functional theory data (PBE) for a relaxed structure of Mg3H3Ir.

abc: 12.9499 3.0769 4.6725
angles: 90.00 109.90 90.00
Space group Cm (No. 8)
One atom of each set of equivalent atoms:
Mg (0.0000, 0.0000, 0.0000)
Mg (0.1365, 0.5000, 0.6275)
Mg (0.2917, 0.5000, 0.2915)
H (0.1004, 0.5000, 0.1456)
H (0.4068, 0.0000, 0.1754)
H (0.4160, 0.0000, 0.6591)
Ir (0.3170, 0.0000, 0.8175)

total energy = -3.59 eV/atom
energy above the lowest structure with this stoichiometry = 2.119 kcal/mol of atoms